DFT (GGA-PBE) results for a relaxed structure of NdGd2Bi. Values from VASP.

**ΔH_f (0 K)**: -0.41 eV/atom
**Distance to the lowest polymorph of the same formula**: 0.0 kJ/mol of atoms
**Energy**: -9.617 eV per atom
**SG**: No. 123

Geometry as Quantum ESPRESSO input:
```
&SYSTEM
  ibrav = 0, nat = 4, ntyp = 3
/
ATOMIC_SPECIES
Nd 144.24 Nd.upf
Gd 157.25 Gd.upf
Bi 208.98 Bi.upf
CELL_PARAMETERS angstrom
4.929 0.000 0.000
0.000 4.929 0.000
0.000 0.000 4.981
ATOMIC_POSITIONS angstrom
Nd 0.000 0.000 0.000
Gd 0.000 2.465 2.490
Gd 2.465 0.000 2.490
Bi 2.465 2.465 0.000
```